[1]
Entry from the Alexandria database: a relaxed structure of Li7MnO5F (PBEsol).

Calculated values
Formation energy from raw total energies (meV per atom): -1981

The structure in CIF format:
```
data_Li7MnO5F
_chemical_formula_sum 'Li7 Mn1 O5 F1'
_cell_length_a 5.4132
_cell_length_b 5.4804
_cell_length_c 5.5470
_cell_angle_alpha 60.82
_cell_angle_beta 61.58
_cell_angle_gamma 61.77
_space_group_name_H-M_alt 'P 1'
_space_group_IT_number 1
_space_group_name_Hall 'P 1'
loop_
_atom_site_label
_atom_site_fract_x
_atom_site_fract_y
_atom_site_fract_z
Li1 0.0000 0.0000 0.0000
Li2 0.0009 0.1771 0.3151
Li3 0.2393 0.6158 0.3663
Li4 0.3792 0.3750 0.0052
Li5 0.5592 0.8776 0.3301
Li6 0.8056 0.6588 0.9213
Li7 0.8610 0.4126 0.6196
Mn1 0.4975 0.1425 0.6440
O1 0.1345 0.3209 0.8871
O2 0.2695 0.2188 0.4235
O3 0.6170 0.4681 0.4091
O4 0.6950 0.0539 0.8956
O5 0.8383 0.8741 0.4503
F1 0.3893 0.7392 0.9338
```

---

[2]
Entry from the Alexandria database: a relaxed structure of Li2Mn4O7F (PBEsol).

Calculated values
Formation energy from raw total energies (meV per atom): -1826

The structure in CIF format:
```
data_Li2Mn4O7F
_chemical_formula_sum 'Li4 Mn8 O14 F2'
_cell_length_a 9.8712
_cell_length_b 5.7536
_cell_length_c 5.8171
_cell_angle_alpha 90.00
_cell_angle_beta 124.27
_cell_angle_gamma 90.00
_space_group_name_H-M_alt 'C 1 m 1'
_space_group_IT_number 8
_space_group_name_Hall 'C -2y'
loop_
_atom_site_label
_atom_site_fract_x
_atom_site_fract_y
_atom_site_fract_z
Li1 0.0000 0.0000 0.0000
Li2 0.1127 0.5000 0.8702
Mn1 0.1178 0.5000 0.3644
Mn2 0.2315 0.0000 0.7403
Mn3 0.3622 0.2410 0.3749
O1 0.0955 0.2725 0.5859
O2 0.1362 0.2701 0.1541
O3 0.3527 0.5000 0.5791
O4 0.3664 0.0000 0.5962
O5 0.3766 0.0000 0.1528
F1 0.3647 0.5000 0.1385
```

---

[3]
Entry from the Alexandria database: a relaxed structure of Li2Mn3OF6 (PBEsol).

Calculated values
Formation energy from raw total energies (meV per atom): -2223

The structure in CIF format:
```
data_Li2Mn3OF6
_chemical_formula_sum 'Li4 Mn6 O2 F12'
_cell_length_a 5.9689
_cell_length_b 6.5979
_cell_length_c 8.1066
_cell_angle_alpha 68.14
_cell_angle_beta 71.99
_cell_angle_gamma 83.14
_space_group_name_H-M_alt 'P -1'
_space_group_IT_number 2
_space_group_name_Hall '-P 1'
loop_
_atom_site_label
_atom_site_fract_x
_atom_site_fract_y
_atom_site_fract_z
Li1 0.1080 0.3134 0.0713
Li2 0.2991 0.8678 0.4833
Mn1 0.0926 0.1798 0.7731
Mn2 0.2397 0.4403 0.3408
Mn3 0.3682 0.7481 0.9350
O1 0.0829 0.5868 0.1335
F1 0.0908 0.7071 0.4439
F2 0.1690 0.8735 0.7325
F3 0.2257 0.0293 0.0060
F4 0.3245 0.1466 0.2760
F5 0.3990 0.2727 0.5492
F6 0.4335 0.4387 0.8721
```

---

[4]
Entry from the Alexandria database: a relaxed structure of LiMnOF2 (PBEsol).

Calculated values
Excess energy over the best structure of this formula in the dataset (meV per atom): 19
Formation energy from raw total energies (meV per atom): -2264

The structure in CIF format:
```
data_LiMnOF2
_chemical_formula_sum 'Li4 Mn4 O4 F8'
_cell_length_a 5.2712
_cell_length_b 6.9375
_cell_length_c 5.4514
_cell_angle_alpha 90.00
_cell_angle_beta 90.00
_cell_angle_gamma 90.00
_space_group_name_H-M_alt 'P n m a'
_space_group_IT_number 62
_space_group_name_Hall '-P 2ac 2n'
loop_
_atom_site_label
_atom_site_fract_x
_atom_site_fract_y
_atom_site_fract_z
Li1 0.0392 0.2500 0.0520
Mn1 0.0000 0.0000 0.5000
O1 0.0667 0.7500 0.6002
F1 0.1757 0.5628 0.1441
```

---

[5]
Entry from the Alexandria database: a relaxed structure of LiMn2O2F3 (PBEsol).

Calculated values
Excess energy over the best structure of this formula in the dataset (meV per atom): 16
Formation energy from raw total energies (meV per atom): -2161

The structure in CIF format:
```
data_LiMn2O2F3
_chemical_formula_sum 'Li4 Mn8 O8 F12'
_cell_length_a 9.5751
_cell_length_b 3.7694
_cell_length_c 10.2376
_cell_angle_alpha 90.00
_cell_angle_beta 91.19
_cell_angle_gamma 90.00
_space_group_name_H-M_alt 'C 1 2/m 1'
_space_group_IT_number 12
_space_group_name_Hall '-C 2y'
loop_
_atom_site_label
_atom_site_fract_x
_atom_site_fract_y
_atom_site_fract_z
Li1 0.1378 0.0000 0.0441
Mn1 0.1403 0.0000 0.4522
Mn2 0.1800 0.0000 0.7534
O1 0.0475 0.0000 0.6112
O2 0.1829 0.5000 0.4406
F1 0.0358 0.0000 0.8785
F2 0.1987 0.5000 0.0878
F3 0.2359 0.0000 0.2778
```

---

[6]
Entry from the Alexandria database: a relaxed structure of LiMn3O5F (PBEsol).

Calculated values
Formation energy from raw total energies (meV per atom): -1809

The structure in CIF format:
```
data_LiMn3O5F
_chemical_formula_sum 'Li1 Mn3 O5 F1'
_cell_length_a 4.8603
_cell_length_b 5.0067
_cell_length_c 5.2765
_cell_angle_alpha 63.38
_cell_angle_beta 89.29
_cell_angle_gamma 61.46
_space_group_name_H-M_alt 'P 1'
_space_group_IT_number 1
_space_group_name_Hall 'P 1'
loop_
_atom_site_label
_atom_site_fract_x
_atom_site_fract_y
_atom_site_fract_z
Li1 0.0000 0.0000 0.0000
Mn1 0.2177 0.4910 0.8279
Mn2 0.4262 0.0748 0.4299
Mn3 0.7543 0.4225 0.3779
O1 0.0459 0.2725 0.1481
O2 0.1483 0.2716 0.6299
O3 0.3898 0.5183 0.1505
O4 0.4992 0.6165 0.6042
O5 0.8183 0.9690 0.6225
F1 0.6697 0.9146 0.1463
```

---

Look up the formation energy from raw total energies of the second one.
-1826 meV per atom